{"formula": "CsBeCr2F8", "functional": "PBE+U", "state": "optimized geometry", "e_tot_ev_per_atom": -5.52, "cell": [[4.584, 0.000, 0.000], [-0.315, 4.594, 0.000], [-0.352, -0.175, 8.857]], "species": ["Cs", "Be", "Cr", "Cr", "F", "F", "F", "F", "F", "F", "F", "F"], "fractional_positions": [[0.000, 0.000, 0.000], [0.000, 0.000, 0.500], [0.492, 0.487, 0.335], [0.508, 0.513, 0.665], [0.186, 0.172, 0.357], [0.204, 0.192, 0.649], [0.279, 0.706, 0.502], [0.356, 0.573, 0.138], [0.644, 0.427, 0.862], [0.721, 0.294, 0.498], [0.796, 0.808, 0.351], [0.814, 0.828, 0.643]]}